# CsKSb2Te

A relaxed CsKSb2Te crystal (PBE-GGA, the Alexandria database).

The structure in POSCAR format:
```
CsKSb2Te
1.0
-5.784 1.495 1.310
-1.109 -5.772 1.693
1.687 1.394 5.858
Cs Sb K Te
1 2 1 1
Direct
0.500 0.500 0.500
0.000 0.500 0.000
0.500 0.000 0.000
0.000 0.000 0.000
0.000 0.000 0.500
```

magnetization	0.00	μB per cell
DOS at the Fermi energy	5.79	states/eV/cell
raw formation energy	0.421	eV/atom
energy above the lowest structure with this stoichiometry	0.000	eV per atom
raw total energy	-2.25	eV/atom


# CsKSb2Te

A relaxed CsKSb2Te crystal (PBE-GGA, the Alexandria database).

The structure in POSCAR format:
```
CsKSb2Te
1.0
6.403 0.000 0.000
0.000 6.403 0.000
0.000 0.000 6.687
Cs Sb K Te
1 2 1 1
Direct
0.000 0.000 0.000
0.000 0.500 0.000
0.500 0.000 0.000
0.500 0.500 0.500
0.000 0.000 0.500
```

magnetization	1.10	μB per cell
DOS at the Fermi energy	6.46	states/eV/cell
raw formation energy	0.689	eV/atom
energy above the lowest structure with this stoichiometry	0.268	eV per atom
raw total energy	-1.98	eV/atom


# CsKTl2Sb

A relaxed CsKTl2Sb crystal (PBE-GGA, the Alexandria database).

The structure in POSCAR format:
```
CsKTl2Sb
1.0
6.070 0.000 0.000
0.000 4.906 0.000
-3.035 -2.453 7.040
Cs K Tl Sb
1 1 2 1
Direct
0.448 0.448 0.896
0.212 0.712 0.425
0.686 0.186 0.372
0.038 0.038 0.076
0.828 0.828 0.656
```

magnetization	0.00	μB per cell
DOS at the Fermi energy	2.74	states/eV/cell
raw formation energy	-0.200	eV/atom
energy above the lowest structure with this stoichiometry	0.000	eV per atom
raw total energy	-2.36	eV/atom


# CsK2TlSb2

A relaxed CsK2TlSb2 crystal (PBE-GGA, the Alexandria database).

The structure in POSCAR format:
```
CsK2TlSb2
1.0
-5.942 1.769 -0.159
-0.951 -3.639 -4.931
1.339 -5.666 7.823
Cs K Tl Sb
1 2 1 2
Direct
0.500 0.500 0.000
0.250 0.750 0.500
0.750 0.250 0.500
0.000 0.000 0.000
0.847 0.847 0.694
0.153 0.153 0.306
```

magnetization	0.00	μB per cell
raw formation energy	-0.270	eV/atom
raw total energy	-2.55	eV/atom


# CsK2Tl2Sb2

A relaxed CsK2Tl2Sb2 crystal (PBE-GGA, the Alexandria database).

The structure in POSCAR format:
```
CsK2Tl2Sb2
1.0
-3.684 -3.196 -0.674
5.476 -2.014 -2.401
-0.130 -2.178 11.045
Cs K Tl Sb
1 2 2 2
Direct
0.000 0.000 0.000
0.111 0.223 0.397
0.889 0.777 0.603
0.617 0.235 0.778
0.383 0.765 0.222
0.745 0.490 0.254
0.255 0.510 0.746
```

magnetization	0.00	μB per cell
DOS at the Fermi energy	2.87	states/eV/cell
raw formation energy	-0.270	eV/atom
raw total energy	-2.56	eV/atom


# Cs4K2TlSb2

A relaxed Cs4K2TlSb2 crystal (PBE-GGA, the Alexandria database).

The structure in POSCAR format:
```
Cs4K2TlSb2
1.0
-5.454 -0.910 -1.588
-5.203 -1.699 8.545
-5.202 8.233 2.851
Cs K Tl Sb
4 2 1 2
Direct
0.141 0.658 0.063
0.859 0.937 0.342
0.859 0.342 0.937
0.141 0.063 0.658
0.352 0.645 0.645
0.648 0.355 0.355
0.500 0.000 0.000
0.281 0.220 0.220
0.719 0.780 0.780
```

magnetization	0.91	μB per cell
DOS at the Fermi energy	5.94	states/eV/cell
raw formation energy	-0.223	eV/atom
raw total energy	-2.03	eV/atom